(1)
# YTl2Ag | the Alexandria database | PBE | relaxed
# - ΔH_f (0 K) (eV/atom) = -0.12
# - calculated total energy (Ha/atom) = -0.13350
data_YTl2Ag
_cell_length_a 3.581
_cell_length_b 4.869
_cell_length_c 5.953
_cell_angle_alpha 90.00
_cell_angle_beta 97.04
_cell_angle_gamma 90.00
_symmetry_space_group_name_H-M 'P 1 2/m 1'
_symmetry_Int_Tables_number 10
loop_
_symmetry_equiv_pos_as_xyz
'x,y,z'
'-x,-y,-z'
'-x,y,-z'
'x,-y,z'
loop_
_atom_site_label
_atom_site_type_symbol
_atom_site_fract_x
_atom_site_fract_y
_atom_site_fract_z
Y1 Y 0.000 0.000 0.000
Tl1 Tl 0.333 0.500 0.739
Ag1 Ag 0.500 0.000 0.500



(2)
# YTl2Ag | the Alexandria database | PBE | relaxed
# - ΔH_f (0 K) (eV/atom) = -0.21
# - calculated total energy (Ha/atom) = -0.13673
data_YTl2Ag
_cell_length_a 4.808
_cell_length_b 4.808
_cell_length_c 4.296
_cell_angle_alpha 90.00
_cell_angle_beta 90.00
_cell_angle_gamma 90.00
_symmetry_space_group_name_H-M 'P 4/m m m'
_symmetry_Int_Tables_number 123
_symmetry_space_group_name_Hall '-P 4 2'
loop_
_atom_site_label
_atom_site_type_symbol
_atom_site_fract_x
_atom_site_fract_y
_atom_site_fract_z
Y1 Y 0.000 0.000 0.000
Tl1 Tl 0.000 0.500 0.500
Ag1 Ag 0.500 0.500 0.000



(3)
# YTlAg3 | the Alexandria database | PBE | relaxed
# - ΔH_f (0 K) (eV/atom) = 0.47
# - distance to the lowest polymorph of the same formula (meV per atom) = 476.8
# - calculated total energy (Ha/atom) = -0.11054
data_YTlAg3
_cell_length_a 5.177
_cell_length_b 5.177
_cell_length_c 5.177
_cell_angle_alpha 90.00
_cell_angle_beta 90.00
_cell_angle_gamma 90.00
_symmetry_space_group_name_H-M 'P m -3 m'
_symmetry_Int_Tables_number 221
_symmetry_space_group_name_Hall '-P 4 2 3'
loop_
_atom_site_label
_atom_site_type_symbol
_atom_site_fract_x
_atom_site_fract_y
_atom_site_fract_z
Y1 Y 0.000 0.000 0.000
Tl1 Tl 0.500 0.500 0.500
Ag1 Ag 0.000 0.500 0.500



(4)
# Y2TlAg | the Alexandria database | PBE | relaxed
# - ΔH_f (0 K) (eV/atom) = -0.25
# - distance to the lowest polymorph of the same formula (meV per atom) = 120.6
# - calculated total energy (Ha/atom) = -0.17589
data_Y2TlAg
_cell_length_a 3.706
_cell_length_b 5.061
_cell_length_c 11.172
_cell_angle_alpha 90.00
_cell_angle_beta 90.00
_cell_angle_gamma 90.00
_symmetry_space_group_name_H-M 'I m m 2'
_symmetry_Int_Tables_number 44
loop_
_symmetry_equiv_pos_as_xyz
'x,y,z'
'-x,-y,z'
'-x,y,z'
'x,-y,z'
'x+1/2,y+1/2,z+1/2'
'-x+1/2,-y+1/2,z+1/2'
'-x+1/2,y+1/2,z+1/2'
'x+1/2,-y+1/2,z+1/2'
loop_
_atom_site_label
_atom_site_type_symbol
_atom_site_fract_x
_atom_site_fract_y
_atom_site_fract_z
Y1 Y 0.000 0.000 0.000
Y2 Y 0.000 0.500 0.227
Tl1 Tl 0.000 0.000 0.447
Ag1 Ag 0.000 0.500 0.734



(5)
# Y6TlAg3 | the Alexandria database | PBE | relaxed
# - ΔH_f (0 K) (eV/atom) = -0.24
# - calculated total energy (Ha/atom) = -0.19137
data_Y6TlAg3
_cell_length_a 9.398
_cell_length_b 4.988
_cell_length_c 12.043
_cell_angle_alpha 90.00
_cell_angle_beta 105.68
_cell_angle_gamma 90.00
_symmetry_space_group_name_H-M 'P 1 21/m 1'
_symmetry_Int_Tables_number 11
loop_
_symmetry_equiv_pos_as_xyz
'x,y,z'
'-x,-y,-z'
'-x,y+1/2,-z'
'x,-y+1/2,z'
loop_
_atom_site_label
_atom_site_type_symbol
_atom_site_fract_x
_atom_site_fract_y
_atom_site_fract_z
Y1 Y 0.019 0.250 0.112
Y2 Y 0.141 0.250 0.720
Y3 Y 0.207 0.750 0.519
Y4 Y 0.339 0.750 0.110
Y5 Y 0.368 0.250 0.356
Y6 Y 0.390 0.750 0.842
Tl1 Tl 0.430 0.250 0.639
Ag1 Ag 0.045 0.250 0.368
Ag2 Ag 0.160 0.750 0.268
Ag3 Ag 0.272 0.250 0.973



(6)
# Y2TlAg | the Alexandria database | PBE | relaxed
# - ΔH_f (0 K) (eV/atom) = -0.32
# - distance to the lowest polymorph of the same formula (meV per atom) = 53.7
# - calculated total energy (Ha/atom) = -0.17835
data_Y2TlAg
_cell_length_a 3.781
_cell_length_b 4.830
_cell_length_c 6.116
_cell_angle_alpha 90.00
_cell_angle_beta 107.61
_cell_angle_gamma 90.00
_symmetry_space_group_name_H-M 'P 1 m 1'
_symmetry_Int_Tables_number 6
loop_
_symmetry_equiv_pos_as_xyz
'x,y,z'
'x,-y,z'
loop_
_atom_site_label
_atom_site_type_symbol
_atom_site_fract_x
_atom_site_fract_y
_atom_site_fract_z
Y1 Y 0.000 0.000 0.000
Y2 Y 0.297 0.500 0.599
Tl1 Tl 0.727 0.000 0.459
Ag1 Ag 0.567 0.500 0.135



(7)
# Y4TlAg2 | the Alexandria database | PBE | relaxed
# - ΔH_f (0 K) (eV/atom) = -0.06
# - distance to the lowest polymorph of the same formula (meV per atom) = 130.6
# - calculated total energy (Ha/atom) = -0.18027
data_Y4TlAg2
_cell_length_a 4.9525
_cell_length_b 4.9525
_cell_length_c 29.2061
_cell_angle_alpha 90.00
_cell_angle_beta 90.00
_cell_angle_gamma 120.00
_symmetry_space_group_name_H-M 'R -3 m'
_symmetry_Int_Tables_number 166
_symmetry_space_group_name_Hall '-R 3 2"'
loop_
_atom_site_label
_atom_site_type_symbol
_atom_site_fract_x
_atom_site_fract_y
_atom_site_fract_z
Y1 Y 0.0000 0.0000 0.1202
Y2 Y 0.0000 0.0000 0.2967
Tl1 Tl 0.0000 0.0000 0.5000
Ag1 Ag 0.0000 0.0000 0.3997



(8)
# Y6Tl2Ag | the Alexandria database | PBE | relaxed
# - ΔH_f (0 K) (eV/atom) = -0.16
# - calculated total energy (Ha/atom) = -0.19525
data_Y6Tl2Ag
_cell_length_a 6.092
_cell_length_b 8.889
_cell_length_c 11.161
_cell_angle_alpha 90.00
_cell_angle_beta 118.75
_cell_angle_gamma 90.00
_symmetry_space_group_name_H-M 'P 1 21/c 1'
_symmetry_Int_Tables_number 14
loop_
_symmetry_equiv_pos_as_xyz
'x,y,z'
'-x,-y,-z'
'-x,y+1/2,-z+1/2'
'x,-y+1/2,z+1/2'
loop_
_atom_site_label
_atom_site_type_symbol
_atom_site_fract_x
_atom_site_fract_y
_atom_site_fract_z
Y1 Y 0.038 0.172 0.439
Y2 Y 0.362 0.676 0.439
Y3 Y 0.396 0.028 0.295
Tl1 Tl 0.172 0.131 0.750
Ag1 Ag 0.000 0.000 0.000



(9)
# Y6Tl3Ag | the Alexandria database | PBE | relaxed
# - ΔH_f (0 K) (eV/atom) = -0.27
# - distance to the lowest polymorph of the same formula (meV per atom) = 0.0
# - calculated total energy (Ha/atom) = -0.18898
data_Y6Tl3Ag
_cell_length_a 9.411
_cell_length_b 5.327
_cell_length_c 11.709
_cell_angle_alpha 90.00
_cell_angle_beta 108.40
_cell_angle_gamma 90.00
_symmetry_space_group_name_H-M 'P 1 21/m 1'
_symmetry_Int_Tables_number 11
loop_
_symmetry_equiv_pos_as_xyz
'x,y,z'
'-x,-y,-z'
'-x,y+1/2,-z'
'x,-y+1/2,z'
loop_
_atom_site_label
_atom_site_type_symbol
_atom_site_fract_x
_atom_site_fract_y
_atom_site_fract_z
Y1 Y 0.035 0.250 0.408
Y2 Y 0.165 0.750 0.175
Y3 Y 0.265 0.250 0.002
Y4 Y 0.352 0.750 0.819
Y5 Y 0.367 0.250 0.335
Y6 Y 0.397 0.250 0.627
Tl1 Tl 0.027 0.750 0.886
Tl2 Tl 0.125 0.250 0.716
Tl3 Tl 0.280 0.750 0.472
Ag1 Ag 0.449 0.750 0.108



(10)
# Y3TlAg2 | the Alexandria database | PBE | relaxed
# - ΔH_f (0 K) (eV/atom) = -0.35
# - distance to the lowest polymorph of the same formula (meV per atom) = 0.0
# - calculated total energy (Ha/atom) = -0.18111
data_Y3TlAg2
_cell_length_a 5.2306
_cell_length_b 5.2306
_cell_length_c 12.8439
_cell_angle_alpha 90.00
_cell_angle_beta 90.00
_cell_angle_gamma 120.00
_symmetry_space_group_name_H-M 'P -3 m 1'
_symmetry_Int_Tables_number 164
_symmetry_space_group_name_Hall '-P 3 2"'
loop_
_atom_site_label
_atom_site_type_symbol
_atom_site_fract_x
_atom_site_fract_y
_atom_site_fract_z
Y1 Y 0.0000 0.0000 0.2422
Y2 Y 0.3333 0.6667 0.4157
Y3 Y 0.3333 0.6667 0.9226
Tl1 Tl 0.3333 0.6667 0.6680
Ag1 Ag 0.0000 0.0000 0.0000
Ag2 Ag 0.0000 0.0000 0.5000
Ag3 Ag 0.3333 0.6667 0.1654



(11)
# YTlAg2 | the Alexandria database | PBE | relaxed
# - ΔH_f (0 K) (eV/atom) = 0.04
# - distance to the lowest polymorph of the same formula (meV per atom) = 272.4
# - calculated total energy (Ha/atom) = -0.13219
data_YTlAg2
_cell_length_a 3.5875
_cell_length_b 3.5875
_cell_length_c 27.2587
_cell_angle_alpha 90.00
_cell_angle_beta 90.00
_cell_angle_gamma 120.00
_symmetry_space_group_name_H-M 'R -3 m'
_symmetry_Int_Tables_number 166
_symmetry_space_group_name_Hall '-R 3 2"'
loop_
_atom_site_label
_atom_site_type_symbol
_atom_site_fract_x
_atom_site_fract_y
_atom_site_fract_z
Y1 Y 0.0000 0.0000 0.0000
Tl1 Tl 0.0000 0.0000 0.5000
Ag1 Ag 0.0000 0.0000 0.2504



(12)
# Y6TlAg | the Alexandria database | PBE | relaxed
# - ΔH_f (0 K) (eV/atom) = -0.16
# - calculated total energy (Ha/atom) = -0.20802
data_Y6TlAg
_cell_length_a 5.115
_cell_length_b 5.115
_cell_length_c 17.990
_cell_angle_alpha 90.00
_cell_angle_beta 90.00
_cell_angle_gamma 90.00
_symmetry_space_group_name_H-M 'I 4/m m m'
_symmetry_Int_Tables_number 139
_symmetry_space_group_name_Hall '-I 4 2'
loop_
_atom_site_label
_atom_site_type_symbol
_atom_site_fract_x
_atom_site_fract_y
_atom_site_fract_z
Y1 Y 0.000 0.000 0.250
Y2 Y 0.000 0.500 0.110
Tl1 Tl 0.000 0.000 0.000
Ag1 Ag 0.000 0.000 0.500



(13)
# TlZn2Ag | the Alexandria database | PBE | relaxed
# - ΔH_f (0 K) (eV/atom) = 0.16
# - distance to the lowest polymorph of the same formula (meV per atom) = 39.7
# - calculated total energy (Ha/atom) = -0.06536
data_TlZn2Ag
_cell_length_a 3.073
_cell_length_b 5.070
_cell_length_c 10.150
_cell_angle_alpha 90.00
_cell_angle_beta 90.00
_cell_angle_gamma 90.00
_symmetry_space_group_name_H-M 'I m m 2'
_symmetry_Int_Tables_number 44
loop_
_symmetry_equiv_pos_as_xyz
'x,y,z'
'-x,-y,z'
'-x,y,z'
'x,-y,z'
'x+1/2,y+1/2,z+1/2'
'-x+1/2,-y+1/2,z+1/2'
'-x+1/2,y+1/2,z+1/2'
'x+1/2,-y+1/2,z+1/2'
loop_
_atom_site_label
_atom_site_type_symbol
_atom_site_fract_x
_atom_site_fract_y
_atom_site_fract_z
Tl1 Tl 0.000 0.000 0.000
Zn1 Zn 0.000 0.000 0.497
Zn2 Zn 0.000 0.500 0.778
Ag1 Ag 0.000 0.500 0.223